SnHgSbPb | PBE-GGA | optimized geometry

For the uncorrected energy, the calculation gives -11.8 eV/cell. As for the formation energy without anion corrections: 0.080 eV/atom.

a = 5.461 Å, b = 5.461 Å, c = 5.461 Å
α = 60.00°, β = 60.00°, γ = 60.00°
Element x y z (fractional)
1 Pb 0.250 0.250 0.250
2 Sb 0.000 0.000 0.000
3 Hg 0.500 0.500 0.500
4 Sn 0.750 0.750 0.750